[1]
Compound: Dy5Tm3As8
Source: the Alexandria database
Functional: PBE
Structure: optimized geometry

Geometry as CIF:
```
data_Dy5Tm3As8
_chemical_formula_sum 'Dy15 Tm9 As24'
_cell_length_a 8.1948
_cell_length_b 8.1948
_cell_length_c 20.0714
_cell_angle_alpha 90.00
_cell_angle_beta 90.00
_cell_angle_gamma 120.00
_space_group_name_H-M_alt 'R -3 m'
_space_group_IT_number 166
_space_group_name_Hall '-R 3 2"'
loop_
_atom_site_label
_atom_site_fract_x
_atom_site_fract_y
_atom_site_fract_z
_atom_site_occupancy
Dy1 0.0000 0.0000 0.0000 1
Dy2 0.0000 0.0000 0.5000 1
Dy3 0.0000 0.5000 0.0000 1
Tm1 0.0000 0.5000 0.5000 1
As1 0.0000 0.0000 0.2488 1
As2 0.0016 0.5008 0.7508 1
```

Properties
DFT formation energy: -1.524 eV per atom
crystal system: trigonal
DFT total energy: -6.1253 eV per atom
DOS at the Fermi energy: 0.176 states/eV/atom



[2]
Compound: Dy3Tm5As8
Source: the Alexandria database
Functional: PBE
Structure: optimized geometry

Geometry as CIF:
```
data_Dy3Tm5As8
_chemical_formula_sum 'Dy9 Tm15 As24'
_cell_length_a 8.1670
_cell_length_b 8.1670
_cell_length_c 20.0036
_cell_angle_alpha 90.00
_cell_angle_beta 90.00
_cell_angle_gamma 120.00
_space_group_name_H-M_alt 'R -3 m'
_space_group_IT_number 166
_space_group_name_Hall '-R 3 2"'
loop_
_atom_site_label
_atom_site_fract_x
_atom_site_fract_y
_atom_site_fract_z
_atom_site_occupancy
Dy1 0.0000 0.5000 0.0000 1
Tm1 0.0000 0.0000 0.0000 1
Tm2 0.0000 0.0000 0.5000 1
Tm3 0.0000 0.5000 0.5000 1
As1 0.0000 0.0000 0.2488 1
As2 0.0016 0.5008 0.7508 1
```

Properties
DFT formation energy: -1.516 eV per atom
crystal system: trigonal
DFT total energy: -6.1011 eV per atom
DOS at the Fermi energy: 0.186 states/eV/atom



[3]
Compound: DyTmAs
Source: the Alexandria database
Functional: PBE
Structure: optimized geometry

Geometry as CIF:
```
data_DyTmAs
_chemical_formula_sum 'Dy2 Tm2 As2'
_cell_length_a 3.655
_cell_length_b 3.655
_cell_length_c 11.382
_cell_angle_alpha 90.00
_cell_angle_beta 90.00
_cell_angle_gamma 90.00
_space_group_name_H-M_alt 'I 4 m m'
_space_group_IT_number 107
_space_group_name_Hall 'I 4 -2'
loop_
_atom_site_label
_atom_site_fract_x
_atom_site_fract_y
_atom_site_fract_z
_atom_site_occupancy
Dy1 0.000 0.000 0.000 1
Tm1 0.000 0.000 0.716 1
As1 0.000 0.000 0.353 1
```

Properties
DFT formation energy: -0.730 eV per atom
crystal system: tetragonal
E above lowest polymorph: 0.111 eV/atom
DFT total energy: -5.3047 eV per atom
DOS at the Fermi energy: 0.927 states/eV/atom



[4]
Compound: DyTm4As5
Source: the Alexandria database
Functional: PBE
Structure: optimized geometry

Geometry as CIF:
```
data_DyTm4As5
_chemical_formula_sum 'Dy2 Tm8 As10'
_cell_length_a 9.111
_cell_length_b 9.111
_cell_length_c 5.763
_cell_angle_alpha 90.00
_cell_angle_beta 90.00
_cell_angle_gamma 90.00
_space_group_name_H-M_alt 'I 4/m'
_space_group_IT_number 87
_space_group_name_Hall '-I 4'
loop_
_atom_site_label
_atom_site_fract_x
_atom_site_fract_y
_atom_site_fract_z
_atom_site_occupancy
Dy1 0.000 0.000 0.000 1
Tm1 0.101 0.300 0.500 1
As1 0.000 0.000 0.500 1
As2 0.101 0.302 0.000 1
```

Properties
DFT formation energy: -1.512 eV per atom
crystal system: tetragonal
DFT total energy: -6.0857 eV per atom
DOS at the Fermi energy: 0.073 states/eV/atom